1.
A plane-wave DFT calculation with PBE was carried out for a geometry-optimized HoMg2Sn2 structure.

The formation energy comes out at -0.06 eV/atom. The calculation puts the density at 5.51 Mg/m³. The excess energy over the best structure of this formula in the dataset is 310.9 meV/atom.

The structure belongs to space group P6_3/mmc (No. 194); the cell edges are 4.9712, 4.9712 and 12.7011 Å and the angles 90.00°, 90.00° and 120.00°. Symmetry generates all atoms from Ho at (0.0000, 0.0000, 0.2500), Mg at (0.0000, 0.0000, 0.0000), Mg at (0.3333, 0.6667, 0.2500) and Sn at (0.3333, 0.6667, 0.6256).


2.
A plane-wave DFT calculation with PBE was carried out for a geometry-optimized HoMgSn structure.

The formation energy comes out at -0.49 eV/atom. The calculation puts the density at 6.71 Mg/m³.

The structure belongs to space group P4/nmm (No. 129, origin choice 2); the cell edges are 4.378, 4.378 and 7.954 Å and the angles 90.00°, 90.00° and 90.00°. Symmetry generates all atoms from Ho at (0.250, 0.250, 0.147), Mg at (0.250, 0.750, 0.500) and Sn at (0.250, 0.250, 0.757).


3.
A plane-wave DFT calculation with PBE was carried out for a geometry-optimized HoMg2Sn structure.

The formation energy comes out at 0.14 eV/atom. The calculation puts the density at 5.13 Mg/m³. The excess energy over the best structure of this formula in the dataset is 549.1 meV/atom.

The structure belongs to space group R-3m (No. 166, hexagonal axes); the cell edges are 3.3141, 3.3141 and 33.9443 Å and the angles 90.00°, 90.00° and 120.00°. Symmetry generates all atoms from Ho at (0.0000, 0.0000, 0.0000), Mg at (0.0000, 0.0000, 0.0937) and Sn at (0.0000, 0.0000, 0.5000).


4.
A plane-wave DFT calculation with PBE was carried out for a geometry-optimized Ho4MgSn2 structure.

The formation energy comes out at -0.30 eV/atom. The calculation puts the density at 7.76 Mg/m³.

The structure belongs to space group P2_1/m (No. 11); the cell edges are 7.622, 6.456 and 8.666 Å and the angles 90.00°, 112.44° and 90.00°. Symmetry generates all atoms from Ho at (0.007, 0.250, 0.022), Ho at (0.171, 0.003, 0.719), Ho at (0.317, 0.750, 0.386), Mg at (0.448, 0.250, 0.209), Sn at (0.224, 0.250, 0.421) and Sn at (0.421, 0.750, 0.071).